The following is a SCAN calculation of NiOsW2 at its PBEsol-relaxed geometry, from Alexandria.

Lattice parameters (Å, degrees): 3.816 3.816 3.827 90.00 90.00 90.00
Fractional coordinates of all 4 atoms:
Ni1 0.000 0.000 0.000
Os1 0.500 0.500 0.000
W1 0.000 0.500 0.500
W2 0.500 0.000 0.500

Values from the calculation:
* density: 18.37 g cm⁻³
* volume: 13.93 Å³/atom
* size of the total moment: 0.00 μB/f.u.
* formation enthalpy at 0 K: -1 meV/atom